A plane-wave DFT calculation with PBE was carried out for BeMo7 after structural relaxation.

```
BeMo7
1.0
0.0000 3.9457 3.9457
3.9457 0.0000 3.9457
3.9457 3.9457 0.0000
Mo Be
7 1
direct
0.5000 0.5000 0.5000
0.0000 0.5000 0.0000
0.0000 0.5000 0.5000
0.5000 0.0000 0.0000
0.0000 0.0000 0.5000
0.5000 0.0000 0.5000
0.5000 0.5000 0.0000
0.0000 0.0000 0.0000
```

## Properties
* DFT total energy: -9.633 eV/atom
* ΔH_f (0 K): 0.310 eV/atom

=====

A plane-wave DFT calculation with PBE was carried out for Al4ReRu after structural relaxation.

```
Al4ReRu
1.0
-2.7573 0.9939 3.9823
-1.1314 4.6818 1.1178
-4.6394 1.6205 -0.5470
Al Re Ru
4 1 1
direct
0.6252 0.1243 0.6252
0.6252 0.6252 0.6252
0.1243 0.6252 0.6252
0.6252 0.6252 0.1243
0.2500 0.2500 0.2500
0.0000 0.0000 0.0000
```

## Properties
* DFT total energy: -6.021 eV/atom
* ΔH_f (0 K): 0.095 eV/atom

=====

A plane-wave DFT calculation with PBE was carried out for CdSi2Os after structural relaxation.

```
CdSi2Os
1.0
4.6121 -0.0127 0.0000
0.9104 4.5214 0.0000
-2.7613 -2.2543 2.9266
Os Si Cd
1 2 1
direct
0.7500 0.2500 0.5000
0.5000 0.5000 0.0000
0.0000 0.0000 0.0000
0.2500 0.7500 0.5000
```

## Properties
* uncorrected formation energy: 448 meV per atom
* DFT total energy: -5.300 eV/atom

=====

A plane-wave DFT calculation with PBE was carried out for AcSnGe2O8 after structural relaxation.

```
AcSnGe2O8
1.0
-4.0783 1.5608 2.4002
-4.4214 -0.0667 -2.2969
-4.0295 -6.4805 2.5398
Ge O Sn Ac
2 8 1 1
direct
0.2447 0.2447 0.2658
0.7553 0.7553 0.7342
0.8794 0.5694 0.3223
0.5694 0.2290 0.3223
0.7710 0.4306 0.6777
0.3231 0.3231 0.0308
0.2290 0.8794 0.3223
0.1206 0.7710 0.6777
0.6769 0.6769 0.9692
0.4306 0.1206 0.6777
0.5000 0.5000 0.5000
0.0000 0.0000 0.0000
```

## Properties
* uncorrected formation energy: -1745 meV per atom
* DFT total energy: -6.496 eV/atom

=====

A plane-wave DFT calculation with PBE was carried out for Zn3Fe after structural relaxation.

```
Zn3Fe
1.0
4.2224 0.0000 0.0000
0.0000 4.8833 0.0000
0.0000 0.0000 5.2462
Zn Fe
6 2
direct
0.0000 0.8413 0.2493
0.0000 0.3430 0.5000
0.0000 0.8413 0.7507
0.5000 0.1587 0.2507
0.5000 0.1587 0.7493
0.5000 0.6570 0.0000
0.5000 0.6452 0.5000
0.0000 0.3548 0.0000
```

## Properties
* DFT total energy: -2.998 eV/atom
* ΔH_f (0 K): 0.074 eV/atom

=====

A plane-wave DFT calculation with PBE was carried out for TaCdS2N after structural relaxation.

```
TaCdS2N
1.0
-1.4093 2.8238 3.8318
0.9202 -3.7592 3.1087
3.6618 1.2489 0.4264
N Ta S Cd
1 1 2 1
direct
0.0000 0.0000 0.5000
0.0000 0.0000 0.0000
0.5000 0.0000 0.0000
0.0000 0.5000 0.0000
0.5000 0.5000 0.5000
```

## Properties
* uncorrected formation energy: -217 meV per atom
* energy above the most stable polymorph in this dataset: 0.000 eV per atom
* DFT total energy: -6.086 eV/atom

=====

| no. | calculated volume (Å³ per atom) |
| --- | --- |
| 1 | 15.36 |
| 2 | 14.25 |
| 3 | 15.27 |
| 4 | 13.46 |
| 5 | 13.52 |
| 6 | 19.18 |